## TaGaCo2 (PBE)

Data for TaGaCo2 after structural relaxation.

Output
**Energy of formation from the pure elements**: 294.1 meV per atom

The structure in CIF format:
```
data_TaGaCo2
_cell_length_a 6.5616
_cell_length_b 6.5616
_cell_length_c 5.3717
_cell_angle_alpha 90.00
_cell_angle_beta 90.00
_cell_angle_gamma 90.00
_space_group_name_H-M_alt 'I -4 2 d'
_space_group_IT_number 122
_space_group_name_Hall 'I -4 2bw'
loop_
_atom_site_label
_atom_site_type_symbol
_atom_site_fract_x
_atom_site_fract_y
_atom_site_fract_z
Ta1 Ta 0.0000 0.0000 0.0000
Ga1 Ga 0.0000 0.0000 0.5000
Co1 Co 0.2488 0.7500 0.6250
```